A plane-wave DFT calculation with PBE was carried out for crystalline Cr2AgSb at its relaxed geometry.

Properties
As for the total energy: -5.866 eV/atom. Its density of states at the Fermi level is 0.7468 states/eV/atom. For the total magnetization, the calculation gives 31.131 μB/cell. Its volume is 327 Å³/cell.

Cell lengths 7.4384, 7.4384, 5.9044 Å; angles 90.00, 90.00, 90.00 degrees
Last column: nearest neighbours and their distance in Å.
Space group I-42d (No. 122)
Inequivalent atoms, fractional coordinates:
Cr1 0.2456 0.2500 0.1250 (multiplicity 8)  2 Sb 2.71, 2 Ag 2.75, 2 Cr 2.95
Ag1 0.0000 0.0000 0.5000 (multiplicity 4)  4 Cr 2.75, 2 Sb 2.95
Sb1 0.0000 0.0000 0.0000 (multiplicity 4)  4 Cr 2.71, 2 Ag 2.95

---

A plane-wave DFT calculation with PBE was carried out for crystalline Mn3OsPd at its relaxed geometry.

Properties
As for the total energy: -7.589 eV/atom. Its density of states at the Fermi level is 1.3137 states/eV/atom. For the total magnetization, the calculation gives 9.378 μB/cell. Its volume is 96 Å³/cell. The relative energy among the computed polymorphs is 0 meV/atom.

Cell lengths 4.5798, 4.5798, 4.5798 Å; angles 90.00, 90.00, 90.00 degrees
Last column: nearest neighbours and their distance in Å.
Space group Pm-3m (No. 221)
Inequivalent atoms, fractional coordinates:
Mn1 0.0000 0.0000 0.5000 (multiplicity 3)  2 Os 2.29
Os1 0.0000 0.0000 0.0000 (multiplicity 1)  6 Mn 2.29
Pd1 0.5000 0.5000 0.5000 (multiplicity 1)  12 Mn 3.24

---

A plane-wave DFT calculation with PBE was carried out for crystalline Cs2Tl2Hg at its relaxed geometry.

Properties
As for the total energy: -1.416 eV/atom. Its density of states at the Fermi level is 1.0115 states/eV/atom. For the total magnetization, the calculation gives 0.000 μB/cell. Its volume is 489 Å³/cell. The relative energy among the computed polymorphs is 54 meV/atom.

Cell lengths 4.5863, 4.5863, 23.2247 Å; angles 90.00, 90.00, 90.00 degrees
Last column: nearest neighbours and their distance in Å.
Space group I4/mmm (No. 139)
Inequivalent atoms, fractional coordinates:
Cs1 0.0000 0.0000 0.1019 (multiplicity 4)  4 Hg 4.02, 4 Tl 4.13
Tl1 0.0000 0.5000 0.2500 (multiplicity 4)  4 Tl 3.24
Hg1 0.0000 0.0000 0.5000 (multiplicity 2)  8 Cs 4.02

---

A plane-wave DFT calculation with PBE was carried out for crystalline La4Tb3Pm at its relaxed geometry.

Properties
As for the total energy: -4.682 eV/atom. Its density of states at the Fermi level is 1.8186 states/eV/atom. For the total magnetization, the calculation gives 0.000 μB/cell. Its volume is 556 Å³/cell. The relative energy among the computed polymorphs is 78 meV/atom.

Cell lengths 3.5343, 11.8089, 13.3139 Å; angles 90.00, 90.00, 90.00 degrees
Last column: nearest neighbours and their distance in Å.
Space group Immm (No. 71)
Inequivalent atoms, fractional coordinates:
La1 0.0000 0.2501 0.1327 (multiplicity 8)  3 Tb 3.42-3.71, 1 Pm 3.44, 5 La 3.53-3.59
Tb1 0.0000 0.0000 0.2620 (multiplicity 4)  6 La 3.42-3.71, 2 Tb 3.53, 2 Pm 3.63
Tb2 0.0000 0.5000 0.5000 (multiplicity 2)  6 Tb 3.53-3.91, 8 La 3.87
Pm1 0.0000 0.5000 0.0000 (multiplicity 2)  4 La 3.44, 2 Pm 3.53, 4 Tb 3.63

---

A plane-wave DFT calculation with PBE was carried out for crystalline NaIr2Br at its relaxed geometry.

Properties
As for the total energy: -4.238 eV/atom. Its density of states at the Fermi level is 0.9972 states/eV/atom. For the total magnetization, the calculation gives 0.000 μB/cell. Its volume is 321 Å³/cell. The relative energy among the computed polymorphs is 0 meV/atom.

Cell lengths 8.0926, 8.0926, 4.9057 Å; angles 90.00, 90.00, 90.00 degrees
Last column: nearest neighbours and their distance in Å.
Space group I-42d (No. 122)
Inequivalent atoms, fractional coordinates:
Na1 0.0000 0.0000 0.0000 (multiplicity 4)  2 Br 2.45
Ir1 0.1996 0.7500 0.6250 (multiplicity 8)  2 Ir 2.58, 2 Br 2.66
Br1 0.0000 0.0000 0.5000 (multiplicity 4)  2 Na 2.45, 4 Ir 2.66

---

A plane-wave DFT calculation with PBE was carried out for crystalline ZrBi3Se at its relaxed geometry.

Properties
As for the total energy: -4.335 eV/atom. Its density of states at the Fermi level is 0.9277 states/eV/atom. For the total magnetization, the calculation gives 0.521 μB/cell. Its volume is 178 Å³/cell. The relative energy among the computed polymorphs is 0 meV/atom.

Cell lengths 5.6282, 5.6282, 5.6282 Å; angles 90.00, 90.00, 90.00 degrees
Last column: nearest neighbours and their distance in Å.
Space group Pm-3m (No. 221)
Inequivalent atoms, fractional coordinates:
Zr1 0.0000 0.0000 0.0000 (multiplicity 1)  6 Bi 2.81
Bi1 0.0000 0.0000 0.5000 (multiplicity 3)  2 Zr 2.81
Se1 0.5000 0.5000 0.5000 (multiplicity 1)  12 Bi 3.98

---

A plane-wave DFT calculation with PBE was carried out for crystalline LuCoH3 at its relaxed geometry.

Properties
As for the total energy: -4.801 eV/atom. Its density of states at the Fermi level is 0.3376 states/eV/atom. For the total magnetization, the calculation gives 0.000 μB/cell. Its volume is 40 Å³/cell.

Cell lengths 3.4284, 3.4284, 3.4284 Å; angles 90.00, 90.00, 90.00 degrees
Last column: nearest neighbours and their distance in Å.
Space group Pm-3m (No. 221)
Inequivalent atoms, fractional coordinates:
Lu1 0.0000 0.0000 0.0000 (multiplicity 1)  12 H 2.42
Co1 0.5000 0.5000 0.5000 (multiplicity 1)  6 H 1.71
H1 0.0000 0.5000 0.5000 (multiplicity 3)  2 Co 1.71

---

A plane-wave DFT calculation with PBE was carried out for crystalline BiHO2F at its relaxed geometry.

Properties
As for the total energy: -4.290 eV/atom. Its density of states at the Fermi level is 0.2832 states/eV/atom. For the total magnetization, the calculation gives 1.003 μB/cell. Its volume is 48 Å³/cell.

Cell lengths 3.5750, 3.5750, 3.7920 Å; angles 90.00, 90.00, 90.00 degrees
Last column: nearest neighbours and their distance in Å.
Space group P4/mmm (No. 123)
Inequivalent atoms, fractional coordinates:
Bi1 0.0000 0.0000 0.0000 (multiplicity 1)  4 F 2.53, 8 O 2.61
H1 0.5000 0.5000 0.5000 (multiplicity 1)  4 O 1.79, 2 F 1.90
O1 0.0000 0.5000 0.5000 (multiplicity 2)  2 H 1.79
F1 0.5000 0.5000 0.0000 (multiplicity 1)  2 H 1.90

---

A plane-wave DFT calculation with PBE was carried out for crystalline HoGePd6 at its relaxed geometry.

Properties
As for the total energy: -5.358 eV/atom. Its density of states at the Fermi level is 0.3738 states/eV/atom. For the total magnetization, the calculation gives 0.000 μB/cell. Its volume is 489 Å³/cell. The relative energy among the computed polymorphs is 316 meV/atom.

Cell lengths 5.4924, 5.4924, 18.7210 Å; angles 90.00, 90.00, 120.00 degrees
Last column: nearest neighbours and their distance in Å.
Space group R-3m (No. 166, hexagonal axes)
Inequivalent atoms, fractional coordinates:
Ho1 0.0000 0.0000 0.0000 (multiplicity 3)  12 Pd 3.06
Ge1 0.0000 0.0000 0.5000 (multiplicity 3)  6 Pd 2.41
Pd1 0.0089 0.5045 0.9284 (multiplicity 18)  1 Ge 2.41, 3 Pd 2.67-2.68

---

A plane-wave DFT calculation with PBE was carried out for crystalline Tb6Sn3Ru at its relaxed geometry.

Properties
As for the total energy: -5.388 eV/atom. Its density of states at the Fermi level is 1.0037 states/eV/atom. For the total magnetization, the calculation gives 0.000 μB/cell. Its volume is 572 Å³/cell.

Cell lengths 6.1092, 8.7105, 12.1712 Å; angles 90.00, 117.90, 90.00 degrees
Last column: nearest neighbours and their distance in Å.
Space group P2_1/c (No. 14)
Inequivalent atoms, fractional coordinates:
Tb1 0.0577 0.1574 0.4411 (multiplicity 4)  1 Ru 2.81, 1 Sn 3.13
Tb2 0.3414 0.6971 0.4381 (multiplicity 4)  1 Ru 2.79, 1 Sn 3.06
Tb3 0.3977 0.0480 0.2665 (multiplicity 4)  1 Ru 2.64
Sn1 0.0000 0.0000 0.0000 (multiplicity 2)  6 Tb 3.04-3.13
Sn2 0.1599 0.1133 0.7621 (multiplicity 4)  8 Tb 3.21-3.57
Ru1 0.5000 0.0000 0.5000 (multiplicity 2)  6 Tb 2.64-2.81

---

A plane-wave DFT calculation with PBE was carried out for crystalline YVBPd2 at its relaxed geometry.

Properties
As for the total energy: -6.803 eV/atom. Its density of states at the Fermi level is 1.2743 states/eV/atom. For the total magnetization, the calculation gives 0.005 μB/cell. Its volume is 79 Å³/cell.

Cell lengths 4.3234, 4.3234, 4.2166 Å; angles 90.00, 90.00, 90.00 degrees
Last column: nearest neighbours and their distance in Å.
Space group P4/mmm (No. 123)
Inequivalent atoms, fractional coordinates:
Y1 0.0000 0.0000 0.0000 (multiplicity 1)  8 Pd 3.02, 4 V 3.06
V1 0.5000 0.5000 0.0000 (multiplicity 1)  2 B 2.11
B1 0.5000 0.5000 0.5000 (multiplicity 1)  2 V 2.11, 4 Pd 2.16
Pd1 0.0000 0.5000 0.5000 (multiplicity 2)  2 B 2.16

---

A plane-wave DFT calculation with PBE was carried out for crystalline Ca3Sb2Rh at its relaxed geometry.

Properties
As for the total energy: -4.492 eV/atom. Its density of states at the Fermi level is 0.5269 states/eV/atom. For the total magnetization, the calculation gives 0.000 μB/cell. Its volume is 669 Å³/cell.

Cell lengths 12.3778, 4.3970, 12.2928 Å; angles 90.00, 90.00, 90.00 degrees
Last column: nearest neighbours and their distance in Å.
Space group Pnma (No. 62)
Inequivalent atoms, fractional coordinates:
Ca1 0.0552 0.2500 0.1232 (multiplicity 4)  1 Rh 3.09, 5 Sb 3.19-3.40
Ca2 0.1152 0.7500 0.5455 (multiplicity 4)  3 Rh 3.13-3.18, 5 Sb 3.22-3.28
Ca3 0.2288 0.2500 0.7925 (multiplicity 4)  2 Rh 2.97, 4 Sb 3.20-3.29
Sb1 0.0104 0.7500 0.3055 (multiplicity 4)  2 Rh 2.72
Sb2 0.1959 0.7500 0.9890 (multiplicity 4)  1 Rh 2.69
Rh1 0.1258 0.2500 0.3642 (multiplicity 4)  3 Sb 2.69-2.72, 2 Ca 2.97